Crystalline Pm8Nd6Sm at its relaxed geometry, computed with PBE-GGA.

a b c (Å): 9.4372 9.4372 8.7341
angles (deg): 57.30 57.30 60.00
Last column: nearest neighbours and their distance in Å.
Positions (direct):
Pm: 0.3369 0.2304 0.5178  6 Pm 3.48-3.82, 3 Nd 3.49-3.78, 1 Sm 3.89
Pm: 0.7696 0.0851 0.4822  6 Pm 3.48-3.82, 3 Nd 3.49-3.78, 1 Sm 3.89
Pm: 0.0851 0.6631 0.4822  6 Pm 3.48-3.82, 3 Nd 3.49-3.78, 1 Sm 3.89
Pm: 0.5716 0.5716 0.2853  1 Pm 2.93, 3 Nd 3.27
Pm: 0.4284 0.4284 0.7147  1 Pm 2.93, 3 Nd 3.27
Pm: 0.9149 0.3369 0.5178  6 Pm 3.48-3.82, 3 Nd 3.49-3.78, 1 Sm 3.89
Pm: 0.2304 0.9149 0.5178  6 Pm 3.48-3.82, 3 Nd 3.49-3.78, 1 Sm 3.89
Pm: 0.6631 0.7696 0.4822  6 Pm 3.48-3.82, 3 Nd 3.49-3.78, 1 Sm 3.89
Nd: 0.4453 0.8924 0.9229  3 Pm 3.27-3.57, 1 Sm 3.54, 2 Nd 3.66
Nd: 0.1076 0.2606 0.0771  3 Pm 3.27-3.57, 1 Sm 3.54, 2 Nd 3.66
Nd: 0.2606 0.5547 0.0771  3 Pm 3.27-3.57, 1 Sm 3.54, 2 Nd 3.66
Nd: 0.7394 0.4453 0.9229  3 Pm 3.27-3.57, 1 Sm 3.54, 2 Nd 3.66
Nd: 0.8924 0.7394 0.9229  3 Pm 3.27-3.57, 1 Sm 3.54, 2 Nd 3.66
Nd: 0.5547 0.1076 0.0771  3 Pm 3.27-3.57, 1 Sm 3.54, 2 Nd 3.66
Sm: 0.0000 0.0000 0.0000  6 Nd 3.54, 6 Pm 3.89

Output
The value obtained for the total energy is -0.1695 hartree per atom. For the energy above the lowest structure with this stoichiometry, the calculation gives 0.000 eV per atom. Its formation energy is 0.14 eV per atom. Its space-group type is R-3, No. 148. The calculation puts the theoretical density at 6.862 g/cm3.